## a
Material: La2PrY4
Method: DFT, GGA-PBE
State: relaxed

## Properties
SG: I4/mmm
Calculated density, g/cm³: 5.2

Lattice parameters (Å, degrees): 4.6422 4.6422 11.9915 101.16 101.16 90.00
With the nearest neighbours (Å) after each atom.
Element x y z (fractional)
Y1 0.7500 0.2500 0.5000  8 Y 3.28-3.44
Y2 0.2500 0.7500 0.5000  8 Y 3.28-3.44
Y3 0.1399 0.1399 0.2798  1 Pr 3.23, 4 La 3.43, 4 Y 3.44
Y4 0.8601 0.8601 0.7202  1 Pr 3.23, 4 La 3.43, 4 Y 3.44
La1 0.5975 0.5975 0.1950  4 Y 3.43
La2 0.4025 0.4025 0.8050  4 Y 3.43
Pr1 0.0000 0.0000 0.0000  2 Y 3.23

## b
Material: La2PrY4
Method: DFT, GGA-PBE
State: relaxed

## Properties
SG: P-1
Calculated density, g/cm³: 5.1

Lattice parameters (Å, degrees): 6.9710 7.1188 10.5668 90.00 89.99 106.63
With the nearest neighbours (Å) after each atom.
Element x y z (fractional)
Pr1 0.5000 0.5000 0.0000  8 Y 3.46-3.83, 2 Pr 3.49
Pr2 0.0000 0.5000 0.0000  4 Y 3.36, 2 Pr 3.49, 2 La 3.56
Y1 0.7300 0.6888 0.7192  2 La 3.38-3.49, 1 Pr 3.46, 5 Y 3.53-3.70
Y2 0.7265 0.1887 0.2150  1 Pr 3.36, 2 La 3.47-3.49, 5 Y 3.53-3.70
Y3 0.2721 0.3118 0.7186  2 La 3.38-3.49, 1 Pr 3.46, 5 Y 3.53-3.70
Y4 0.7287 0.1894 0.7843  1 Pr 3.36, 2 La 3.47-3.49, 5 Y 3.53-3.70
Y5 0.2713 0.8106 0.2157  1 Pr 3.36, 2 La 3.47-3.49, 5 Y 3.53-3.70
Y6 0.7279 0.6882 0.2814  2 La 3.38-3.49, 1 Pr 3.46, 5 Y 3.53-3.70
Y7 0.2700 0.3112 0.2808  2 La 3.38-3.49, 1 Pr 3.46, 5 Y 3.53-3.70
Y8 0.2735 0.8113 0.7850  1 Pr 3.36, 2 La 3.47-3.49, 5 Y 3.53-3.70
La1 0.0000 0.0000 0.5000  4 Y 3.38, 4 La 3.49-3.56
La2 0.0000 0.5000 0.5000  8 Y 3.49-3.90, 2 La 3.56
La3 0.5000 0.0000 0.5000  2 La 3.49, 8 Y 3.49-3.86
La4 0.0000 0.0000 0.0000  8 Y 3.47-3.87, 2 Pr 3.56

Which structure loses on stability? a does.

## a
Material: LaPrY6
Method: DFT, GGA-PBE
State: relaxed

## Properties
SG: C2/m
Calculated density, g/cm³: 4.6

Lattice parameters (Å, degrees): 6.1852 6.1852 9.4972 86.66 116.87 113.31
With the nearest neighbours (Å) after each atom.
Element x y z (fractional)
Y1 0.2991 0.6263 0.9254  5 Y 3.20-3.54
Y2 0.8413 0.9399 0.2992  5 Y 3.28-3.54, 1 Pr 3.36, 2 La 3.50-3.55
Y3 0.1587 0.0601 0.7008  5 Y 3.28-3.54, 1 Pr 3.36, 2 La 3.50-3.55
Y4 0.3593 0.4579 0.2992  5 Y 3.28-3.54, 1 Pr 3.36, 2 La 3.50-3.55
Y5 0.6407 0.5421 0.7008  5 Y 3.28-3.54, 1 Pr 3.36, 2 La 3.50-3.55
Y6 0.7009 0.3737 0.0746  5 Y 3.20-3.54
Pr1 0.0000 0.0000 0.0000  10 Y 3.36-3.76
La1 0.5000 0.0000 0.5000  8 Y 3.50-3.55

## b
Material: LaPrY6
Method: DFT, GGA-PBE
State: relaxed

## Properties
SG: R-3
Calculated density, g/cm³: 4.9

Lattice parameters (Å, degrees): 8.7316 9.7389 6.5397 41.91 48.11 56.09
With the nearest neighbours (Å) after each atom.
Element x y z (fractional)
Y1 0.4568 0.2511 0.3333  4 Y 3.36-3.41, 1 La 3.56, 1 Pr 3.57
Y2 0.7489 0.9587 0.7493  4 Y 3.36-3.41, 1 La 3.56, 1 Pr 3.57
Y3 0.9591 0.4568 0.8350  4 Y 3.36-3.41, 1 La 3.56, 1 Pr 3.57
Y4 0.0409 0.5432 0.1650  4 Y 3.36-3.41, 1 La 3.56, 1 Pr 3.57
Y5 0.5432 0.7489 0.6667  4 Y 3.36-3.41, 1 La 3.56, 1 Pr 3.57
Y6 0.2511 0.0413 0.2507  4 Y 3.36-3.41, 1 La 3.56, 1 Pr 3.57
La1 0.0000 0.0000 0.0000  12 Y 3.56-3.80
Pr1 0.5000 0.5000 0.5000  12 Y 3.57-3.79

Which structure loses on stability? a does.

## a
Material: LaPr5Y4
Method: DFT, GGA-PBE
State: relaxed

## Properties
SG: C2/m
Calculated density, g/cm³: 5.7

Lattice parameters (Å, degrees): 3.5332 6.9667 14.4921 97.18 97.00 90.00
With the nearest neighbours (Å) after each atom.
Element x y z (fractional)
La1 0.5000 0.0000 0.0000  2 Pr 3.48, 6 Y 3.53-3.68, 2 La 3.53
Pr1 0.7951 0.8967 0.5903  8 Pr 3.47-3.67, 3 Y 3.63-3.69
Pr2 0.7997 0.4018 0.5994  3 Y 3.45-3.65, 8 Pr 3.47-3.76
Pr3 0.2003 0.5982 0.4006  3 Y 3.45-3.65, 8 Pr 3.47-3.76
Pr4 0.5000 0.5000 0.0000  2 La 3.48, 2 Pr 3.53, 6 Y 3.55-3.65
Pr5 0.2049 0.1033 0.4097  8 Pr 3.47-3.67, 3 Y 3.63-3.69
Y1 0.3920 0.1908 0.7841  1 La 3.53, 6 Y 3.53-3.94, 5 Pr 3.55-3.69
Y2 0.6080 0.8092 0.2159  1 La 3.53, 6 Y 3.53-3.94, 5 Pr 3.55-3.69
Y3 0.0944 0.3038 0.1888  4 Pr 3.45-3.65, 2 Y 3.53, 2 La 3.68
Y4 0.9056 0.6962 0.8112  4 Pr 3.45-3.65, 2 Y 3.53, 2 La 3.68

## b
Material: LaPr5Y4
Method: DFT, GGA-PBE
State: relaxed

## Properties
SG: P4/mmm
Calculated density, g/cm³: 5.7

Lattice parameters (Å, degrees): 3.6789 3.6789 25.6509 90.00 90.00 90.00
With the nearest neighbours (Å) after each atom.
Element x y z (fractional)
Y1 0.0000 0.0000 0.7967  8 Pr 3.64-3.65, 4 Y 3.68
Y2 0.0000 0.0000 0.5988  8 Pr 3.63, 4 Y 3.68
Y3 0.0000 0.0000 0.4012  8 Pr 3.63, 4 Y 3.68
Y4 0.0000 0.0000 0.2033  8 Pr 3.64-3.65, 4 Y 3.68
Pr1 0.5000 0.5000 0.6977  8 Y 3.63-3.64, 4 Pr 3.68
Pr2 0.5000 0.5000 0.1035  4 Y 3.65, 4 Pr 3.68, 4 La 3.72
Pr3 0.5000 0.5000 0.8965  4 Y 3.65, 4 Pr 3.68, 4 La 3.72
Pr4 0.5000 0.5000 0.3023  8 Y 3.63-3.64, 4 Pr 3.68
Pr5 0.5000 0.5000 0.5000  8 Y 3.63, 4 Pr 3.68
La1 0.0000 0.0000 0.0000  4 La 3.68, 8 Pr 3.72

Which structure loses on stability? a does.

## a
Material: LaPr12Y6
Method: DFT, GGA-PBE
State: relaxed

## Properties
SG: R-3
Calculated density, g/cm³: 5.8

Lattice parameters (Å, degrees): 8.7903 8.7903 8.7903 89.01 89.01 89.01
With the nearest neighbours (Å) after each atom.
Element x y z (fractional)
Pr1 0.9819 0.8031 0.6373  4 Pr 3.50-3.68, 4 Y 3.59-3.76, 1 La 3.66
Pr2 0.6373 0.9819 0.8031  4 Pr 3.50-3.68, 4 Y 3.59-3.76, 1 La 3.66
Pr3 0.8031 0.6373 0.9819  4 Pr 3.50-3.68, 4 Y 3.59-3.76, 1 La 3.66
Pr4 0.2188 0.4641 0.5672  4 Pr 3.39-3.66, 3 Y 3.40-3.55
Pr5 0.5359 0.4328 0.7812  4 Pr 3.39-3.66, 3 Y 3.40-3.55
Pr6 0.1969 0.3627 0.0181  4 Pr 3.50-3.68, 4 Y 3.59-3.76, 1 La 3.66
Pr7 0.3627 0.0181 0.1969  4 Pr 3.50-3.68, 4 Y 3.59-3.76, 1 La 3.66
Pr8 0.5672 0.2188 0.4641  4 Pr 3.39-3.66, 3 Y 3.40-3.55
Pr9 0.0181 0.1969 0.3627  4 Pr 3.50-3.68, 4 Y 3.59-3.76, 1 La 3.66
Pr10 0.4328 0.7812 0.5359  4 Pr 3.39-3.66, 3 Y 3.40-3.55
Pr11 0.7812 0.5359 0.4328  4 Pr 3.39-3.66, 3 Y 3.40-3.55
Pr12 0.4641 0.5672 0.2188  4 Pr 3.39-3.66, 3 Y 3.40-3.55
Y1 0.2593 0.1001 0.7008  7 Pr 3.40-3.76, 1 La 3.56, 2 Y 3.60
Y2 0.7008 0.2593 0.1001  7 Pr 3.40-3.76, 1 La 3.56, 2 Y 3.60
Y3 0.8999 0.2992 0.7407  7 Pr 3.40-3.76, 1 La 3.56, 2 Y 3.60
Y4 0.1001 0.7008 0.2593  7 Pr 3.40-3.76, 1 La 3.56, 2 Y 3.60
Y5 0.7407 0.8999 0.2992  7 Pr 3.40-3.76, 1 La 3.56, 2 Y 3.60
Y6 0.2992 0.7407 0.8999  7 Pr 3.40-3.76, 1 La 3.56, 2 Y 3.60
La1 0.0000 0.0000 0.0000  6 Y 3.56, 6 Pr 3.66

## b
Material: LaPr12Y6
Method: DFT, GGA-PBE
State: relaxed

## Properties
SG: R-3m
Calculated density, g/cm³: 5.7

Lattice parameters (Å, degrees): 8.9820 8.9820 8.9820 99.71 99.71 99.71
With the nearest neighbours (Å) after each atom.
Element x y z (fractional)
Pr1 0.9221 0.6489 0.6489  6 Pr 3.44-3.75
Pr2 0.3511 0.0779 0.3511  6 Pr 3.44-3.75
Pr3 0.7566 0.2434 0.5000  6 Pr 3.44-3.62, 4 Y 3.50-3.72
Pr4 0.2434 0.7566 0.5000  6 Pr 3.44-3.62, 4 Y 3.50-3.72
Pr5 0.7566 0.5000 0.2434  6 Pr 3.44-3.62, 4 Y 3.50-3.72
Pr6 0.2434 0.5000 0.7566  6 Pr 3.44-3.62, 4 Y 3.50-3.72
Pr7 0.5000 0.7566 0.2434  6 Pr 3.44-3.62, 4 Y 3.50-3.72
Pr8 0.3511 0.3511 0.0779  6 Pr 3.44-3.75
Pr9 0.5000 0.2434 0.7566  6 Pr 3.44-3.62, 4 Y 3.50-3.72
Pr10 0.6489 0.6489 0.9221  6 Pr 3.44-3.75
Pr11 0.6489 0.9221 0.6489  6 Pr 3.44-3.75
Pr12 0.0779 0.3511 0.3511  6 Pr 3.44-3.75
La1 0.0000 0.0000 0.0000  6 Y 3.51
Y1 0.3359 0.8988 0.8988  1 Y 3.25, 2 Pr 3.50, 1 La 3.51
Y2 0.1012 0.6641 0.1012  1 Y 3.25, 2 Pr 3.50, 1 La 3.51
Y3 0.8988 0.3359 0.8988  1 Y 3.25, 2 Pr 3.50, 1 La 3.51
Y4 0.6641 0.1012 0.1012  1 Y 3.25, 2 Pr 3.50, 1 La 3.51
Y5 0.8988 0.8988 0.3359  1 Y 3.25, 2 Pr 3.50, 1 La 3.51
Y6 0.1012 0.1012 0.6641  1 Y 3.25, 2 Pr 3.50, 1 La 3.51

Which structure loses on stability? b does.